The following is a DFT calculation (GGA+U) of an optimized crystal structure of K2CoCu3F12.

Unit cell a=7.2110 b=7.2110 c=17.8429 alpha=90.00 beta=90.00 gamma=120.00
Space group R-3m (No. 166, hexagonal axes)
Inequivalent atoms, fractional coordinates:
1 K 0.0000 0.0000 0.1199 [6 per cell]
2 Co 0.0000 0.0000 0.5000 [3 per cell]
3 Cu 0.0000 0.5000 0.0000 [9 per cell]
4 F 0.0658 0.5329 0.3579 [18 per cell]
5 F 0.0687 0.5343 0.1101 [18 per cell]

Values from the calculation:
* volume: 14.88 Å³ per atom
* energy: -4.25 eV/atom